VASP calculation (GGA-PBE) on a geometry-optimized Ho6AsS5 structure.

## Properties
* space-group type: C2/m
* magnetic moment: 0.000 Bohr magnetons per cell
* E_tot: -6.3056 eV/atom

a = 6.7876 Å, b = 6.7876 Å, c = 6.8043 Å
α = 99.52°, β = 99.52°, γ = 120.07°
Sites, in units of the cell vectors:
Ho 0.0790 0.4138 0.2452
Ho 0.2481 0.2481 0.7539
Ho 0.4138 0.0790 0.2452
Ho 0.5862 0.9210 0.7548
Ho 0.7519 0.7519 0.2461
Ho 0.9210 0.5862 0.7548
As 0.5000 0.5000 0.5000
S 0.0000 0.0000 0.0000
S 0.1672 0.8328 0.5000
S 0.3348 0.6652 0.0000
S 0.6652 0.3348 0.0000
S 0.8328 0.1672 0.5000